(1)
The following is a GGA-PBEsol calculation of crystalline Cu2S at its relaxed geometry, from the Alexandria database.

- Calculated volume: 14.4 Å³ per atom
- DFT total energy: -4.45 eV/atom
- Size of the total moment: 0.000 μB per atom
- Symmetry: Imm2 (44)
- Fermi-level density of states: 0.016 states/eV/atom
- Mass density: 6107 kg/m3

abc: 4.056 4.056 4.056
angles: 126.42 82.01 123.04
Positions (direct):
Cu  0.207  0.000  0.207
Cu  0.793  0.000  0.793
S  0.167  0.667  0.500

=====

(2)
The following is a GGA-PBEsol calculation of crystalline Cu2S at its relaxed geometry, from the Alexandria database.

- Calculated volume: 15.2 Å³ per atom
- DFT total energy: -4.44 eV/atom
- Size of the total moment: 0.000 μB per atom
- Symmetry: C2/c (15)
- Fermi-level density of states: 0.060 states/eV/atom
- Mass density: 5796 kg/m3

abc: 3.895 3.895 6.823
angles: 90.98 90.98 118.16
Positions (direct):
Cu  0.000  0.500  0.000
Cu  0.020  0.980  0.750
Cu  0.500  0.000  0.500
Cu  0.980  0.020  0.250
S  0.372  0.628  0.750
S  0.628  0.372  0.250

=====

(3)
The following is a GGA-PBEsol calculation of crystalline CuS2 at its relaxed geometry, from the Alexandria database.

- Calculated volume: 16.3 Å³ per atom
- DFT total energy: -4.02 eV/atom
- Size of the total moment: 0.000 μB per atom
- Symmetry: P-4m2 (115)
- Fermi-level density of states: 0.692 states/eV/atom
- Mass density: 4323 kg/m3

abc: 3.466 3.466 4.083
angles: 90.00 90.00 90.00
Positions (direct):
Cu  0.000  0.000  0.000
S  0.000  0.500  0.348
S  0.500  0.000  0.652

=====

(4)
The following is a GGA-PBEsol calculation of crystalline CuS2 at its relaxed geometry, from the Alexandria database.

- Calculated volume: 20.0 Å³ per atom
- DFT total energy: -4.41 eV/atom
- Size of the total moment: 0.000 μB per atom
- Symmetry: C2 (5)
- Fermi-level density of states: 0.441 states/eV/atom
- Mass density: 3530 kg/m3

abc: 3.668 3.668 5.146
angles: 110.56 110.56 90.27
Positions (direct):
Cu  0.000  0.000  0.000
S  0.635  0.150  0.275
S  0.850  0.365  0.725

=====

(5)
The following is a GGA-PBEsol calculation of crystalline CuS at its relaxed geometry, from the Alexandria database.

- Calculated volume: 16.8 Å³ per atom
- DFT total energy: -4.57 eV/atom
- Size of the total moment: 0.000 μB per atom
- Symmetry: F-43m (216)
- Fermi-level density of states: 0.805 states/eV/atom
- Mass density: 4730 kg/m3

abc: 3.621 3.621 3.621
angles: 60.00 60.00 60.00
Positions (direct):
Cu  0.000  0.000  0.000
S  0.250  0.250  0.250

=====

(6)
The following is a GGA-PBEsol calculation of crystalline Cu2S at its relaxed geometry, from the Alexandria database.

- Calculated volume: 14.0 Å³ per atom
- DFT total energy: -4.50 eV/atom
- Size of the total moment: 0.000 μB per atom
- Symmetry: P4_32_12 (96)
- Mass density: 6275 kg/m3

abc: 4.036 4.036 10.342
angles: 90.00 90.00 90.00
Positions (direct):
Cu  0.074  0.413  0.082
Cu  0.087  0.574  0.832
Cu  0.413  0.074  0.918
Cu  0.426  0.913  0.668
Cu  0.574  0.087  0.168
Cu  0.587  0.926  0.418
Cu  0.913  0.426  0.332
Cu  0.926  0.587  0.582
S  0.082  0.082  0.500
S  0.418  0.582  0.250
S  0.582  0.418  0.750
S  0.918  0.918  0.000

=====

(7)
The following is a GGA-PBEsol calculation of crystalline Cu3SbS4 at its relaxed geometry, from the Alexandria database.

- Calculated volume: 18.9 Å³ per atom
- DFT total energy: -4.63 eV/atom
- Size of the total moment: 0.000 μB per atom
- Symmetry: Pmn2_1 (31)
- Fermi-level density of states: 0.245 states/eV/atom
- Mass density: 4850 kg/m3

abc: 7.499 6.478 6.210
angles: 90.00 90.00 90.00
Positions (direct):
Cu  0.000  0.165  0.000
Cu  0.249  0.669  0.000
Cu  0.251  0.331  0.500
Cu  0.500  0.835  0.500
Cu  0.749  0.331  0.500
Cu  0.751  0.669  0.000
Sb  0.000  0.832  0.503
Sb  0.500  0.168  0.003
S  0.000  0.187  0.637
S  0.000  0.833  0.107
S  0.233  0.345  0.137
S  0.267  0.655  0.637
S  0.500  0.167  0.607
S  0.500  0.813  0.137
S  0.733  0.655  0.637
S  0.767  0.345  0.137

=====

(8)
The following is a GGA-PBEsol calculation of crystalline Cu3SbS at its relaxed geometry, from the Alexandria database.

- Calculated volume: 21.4 Å³ per atom
- DFT total energy: -3.42 eV/atom
- Size of the total moment: 0.001 μB per atom
- Symmetry: Pm-3m (221)
- Fermi-level density of states: 1.037 states/eV/atom
- Energy relative to the lowest polymorph listed for this composition: 0.6491 eV per atom
- Mass density: 5354 kg/m3

abc: 4.745 4.745 4.745
angles: 90.00 90.00 90.00
Positions (direct):
Cu  0.000  0.000  0.500
Cu  0.000  0.500  0.000
Cu  0.500  0.000  0.000
Sb  0.000  0.000  0.000
S  0.500  0.500  0.500

=====

(9)
The following is a GGA-PBEsol calculation of crystalline Cu3SbS at its relaxed geometry, from the Alexandria database.

- Calculated volume: 16.9 Å³ per atom
- DFT total energy: -4.07 eV/atom
- Size of the total moment: 0.000 μB per atom
- Symmetry: Pm-3m (221)
- Fermi-level density of states: 0.767 states/eV/atom
- Energy relative to the lowest polymorph listed for this composition: 0.0000 eV per atom
- Mass density: 6753 kg/m3

abc: 4.392 4.392 4.392
angles: 90.00 90.00 90.00
Positions (direct):
Cu  0.000  0.000  0.500
Cu  0.000  0.500  0.000
Cu  0.500  0.000  0.000
Sb  0.500  0.500  0.500
S  0.000  0.000  0.000

=====

(10)
The following is a GGA-PBEsol calculation of crystalline Cu3SbS4 at its relaxed geometry, from the Alexandria database.

- Calculated volume: 18.9 Å³ per atom
- DFT total energy: -4.64 eV/atom
- Size of the total moment: 0.000 μB per atom
- Symmetry: I-42m (121)
- Fermi-level density of states: 0.245 states/eV/atom
- Mass density: 4838 kg/m3

abc: 6.519 6.519 6.519
angles: 131.70 131.70 70.70
Positions (direct):
Cu  0.000  0.000  0.000
Cu  0.250  0.750  0.500
Cu  0.750  0.250  0.500
Sb  0.500  0.500  0.000
S  0.100  0.100  0.467
S  0.367  0.900  0.000
S  0.633  0.633  0.533
S  0.900  0.367  0.000

=====

(11)
The following is a GGA-PBEsol calculation of crystalline Cu11Sb4S13 at its relaxed geometry, from the Alexandria database.

- Calculated volume: 18.4 Å³ per atom
- DFT total energy: -4.59 eV/atom
- Size of the total moment: 0.000 μB per atom
- Symmetry: Cm (8)
- Fermi-level density of states: 0.633 states/eV/atom
- Mass density: 5166 kg/m3

abc: 8.647 8.647 8.686
angles: 109.67 109.67 106.43
Positions (direct):
Cu  0.000  0.000  0.000
Cu  0.005  0.192  0.771
Cu  0.192  0.005  0.771
Cu  0.283  0.480  0.290
Cu  0.467  0.976  0.529
Cu  0.475  0.475  0.118
Cu  0.480  0.283  0.290
Cu  0.519  0.519  0.775
Cu  0.704  0.959  0.246
Cu  0.959  0.704  0.246
Cu  0.976  0.467  0.529
Sb  0.190  0.190  0.550
Sb  0.195  0.740  0.984
Sb  0.674  0.674  0.478
Sb  0.740  0.195  0.984
S  0.225  0.225  0.030
S  0.231  0.715  0.272
S  0.243  0.480  0.531
S  0.431  0.952  0.768
S  0.470  0.685  0.018
S  0.480  0.243  0.531
S  0.685  0.470  0.018
S  0.715  0.231  0.272
S  0.730  0.986  0.522
S  0.748  0.748  0.792
S  0.952  0.431  0.768
S  0.960  0.960  0.228
S  0.986  0.730  0.522

=====

(12)
The following is a GGA-PBEsol calculation of crystalline CuSb2TeS at its relaxed geometry, from the Alexandria database.

- Calculated volume: 24.7 Å³ per atom
- DFT total energy: -3.66 eV/atom
- Size of the total moment: 0.000 μB per atom
- Symmetry: P4/mmm (123)
- Fermi-level density of states: 0.989 states/eV/atom
- Mass density: 6279 kg/m3

abc: 5.030 5.030 4.879
angles: 90.00 90.00 90.00
Positions (direct):
Cu  0.000  0.000  0.000
Sb  0.000  0.500  0.000
Sb  0.500  0.000  0.000
Te  0.000  0.000  0.500
S  0.500  0.500  0.500

=====

ΔE_f (raw) values, unit eV/f.u., following the record order: -0.301 -0.255 1.052 -0.129 -0.425 -0.448 -1.935 4.853 1.607 -2.010 -5.609 3.035.